Record 1
DFT (PBE) results for Pm2Te3 after structural relaxation.

Cell: 8.718 8.718 8.718 Å, 53.04 53.04 53.04°
Atoms (fractional coordinates):
Pm: 0.000 0.000 0.000
Pm: 0.178 0.178 0.178
Pm: 0.500 0.500 0.500
Pm: 0.822 0.822 0.822
Te: 0.097 0.761 0.400
Te: 0.239 0.600 0.903
Te: 0.400 0.097 0.761
Te: 0.600 0.903 0.239
Te: 0.761 0.400 0.097
Te: 0.903 0.239 0.600

Output
Raw total energy = -5.194 eV/atom
Magnetic moment = 0.00 Bohr magnetons per cell


Record 2
DFT (PBE) results for Cd2In2Sn3 after structural relaxation.

Cell: 8.865 8.865 8.865 Å, 34.38 34.38 34.38°
Atoms (fractional coordinates):
Cd: 0.000 0.000 0.000
Cd: 0.487 0.487 0.487
In: 0.234 0.234 0.234
In: 0.747 0.747 0.747
Sn: 0.365 0.365 0.365
Sn: 0.617 0.617 0.617
Sn: 0.869 0.869 0.869

Output
Raw total energy = -2.664 eV/atom


Record 3
DFT (PBE) results for Y2Cd after structural relaxation.

Cell: 6.292 6.292 6.292 Å, 60.00 60.00 60.00°
Atoms (fractional coordinates):
Y: 0.000 0.000 0.000
Y: 0.000 0.000 0.500
Y: 0.000 0.500 0.000
Y: 0.500 0.000 0.000
Cd: 0.375 0.375 0.375
Cd: 0.625 0.625 0.625

Output
Magnetic moment = 0.03 Bohr magnetons per cell
Formation energy from the elements = 0.29 eV per atom


Record 4
DFT (PBE) results for LiGaAu2 after structural relaxation.

Cell: 4.406 4.406 8.594 Å, 90.00 90.00 120.00°
Atoms (fractional coordinates):
Li: 0.333 0.667 0.250
Li: 0.667 0.333 0.750
Ga: 0.000 0.000 0.000
Ga: 0.000 0.000 0.500
Au: 0.333 0.667 0.590
Au: 0.333 0.667 0.910
Au: 0.667 0.333 0.090
Au: 0.667 0.333 0.410

Output
Raw total energy = -3.251 eV/atom


Record 5
DFT (PBE) results for CdGa2Tc after structural relaxation.

Cell: 4.573 4.573 4.573 Å, 60.00 60.00 60.00°
Atoms (fractional coordinates):
Cd: 0.000 0.000 0.000
Ga: 0.250 0.250 0.250
Ga: 0.500 0.500 0.500
Tc: 0.750 0.750 0.750

Output
Raw total energy = -3.891 eV/atom
Magnetic moment = 0.01 Bohr magnetons per cell


Record 6
DFT (PBE) results for ReW2 after structural relaxation.

Cell: 5.215 5.215 8.380 Å, 90.00 90.00 120.00°
Atoms (fractional coordinates):
Re: 0.333 0.667 0.049
Re: 0.333 0.667 0.451
Re: 0.667 0.333 0.549
Re: 0.667 0.333 0.951
W: 0.000 0.000 0.000
W: 0.000 0.000 0.500
W: 0.170 0.340 0.750
W: 0.170 0.830 0.750
W: 0.340 0.170 0.250
W: 0.660 0.830 0.750
W: 0.830 0.170 0.250
W: 0.830 0.660 0.250

Output
Energy above the most stable polymorph in this dataset = 152 kJ/mol of formula units
Magnetic moment = 0.01 Bohr magnetons per cell
Formation energy from the elements = 0.55 eV per atom


What did the fifth record say?
DFT (PBE) results for CdGa2Tc after structural relaxation.

Cell: 4.573 4.573 4.573 Å, 60.00 60.00 60.00°
Atoms (fractional coordinates):
Cd: 0.000 0.000 0.000
Ga: 0.250 0.250 0.250
Ga: 0.500 0.500 0.500
Tc: 0.750 0.750 0.750

Output
Raw total energy = -3.891 eV/atom
Magnetic moment = 0.01 Bohr magnetons per cell